VASP calculation (PBE) on RbHg2Br4 after structural relaxation.

Lattice parameters (Å, degrees): 8.180 8.515 9.824 107.07 104.94 107.52
Atoms (fractional coordinates):
Rb 0.000 0.000 0.000
Rb 0.156 0.770 0.490
Hg 0.278 0.486 0.840
Hg 0.449 0.526 0.338
Hg 0.660 0.027 0.361
Hg 0.745 0.335 0.786
Br 0.026 0.445 0.054
Br 0.310 0.200 0.838
Br 0.320 0.806 0.893
Br 0.360 0.071 0.336
Br 0.637 0.575 0.744
Br 0.665 0.989 0.665
Br 0.805 0.828 0.237
Br 0.953 0.365 0.543

**Formation energy (no corrections)**: -0.77 eV per atom
**Energy above the lowest structure with this stoichiometry**: 29 meV/atom
**DFT total energy**: -0.144 Ry/atom
**M_tot**: 0.000 μB/f.u.
**Space-group type**: P1